# 1
A geometry-optimized La2Y3Ho structure, computed with PBE.

a = 9.0716 Å, b = 9.9931 Å, c = 9.0997 Å
α = 90.00°, β = 101.07°, γ = 90.00°
With the nearest neighbours (Å) after each atom.
Space group C2/c (No. 15)
One atom of each set of equivalent atoms:
1 La 0.1251 0.2494 0.1249 (multiplicity 8)  2 La 3.50-3.51, 9 Y 3.75-3.78, 3 Ho 3.76-3.77
2 Y 0.0000 0.4162 0.7500 (multiplicity 4)  1 Ho 3.32, 4 Y 3.34-3.52
3 Y 0.2485 0.0827 0.4999 (multiplicity 8)  2 Ho 3.32-3.50, 3 Y 3.34-3.52
4 Ho 0.0000 0.0838 0.7500 (multiplicity 4)  5 Y 3.32-3.50

Computed properties:
The density of states at the Fermi level comes out at 39.6 states/eV per cell. The calculation puts the formation energy at 67 meV/atom.

=====

# 2
A geometry-optimized HfNb2AgSb structure, computed with PBE.

a = 5.0397 Å, b = 5.0397 Å, c = 5.2286 Å
α = 90.00°, β = 90.00°, γ = 90.00°
With the nearest neighbours (Å) after each atom.
Space group P4/mmm (No. 123)
One atom of each set of equivalent atoms:
1 Hf 0.0000 0.0000 0.0000 (multiplicity 1)  2 Sb 2.61
2 Nb 0.0000 0.5000 0.5000 (multiplicity 2)  2 Sb 2.52
3 Ag 0.5000 0.5000 0.0000 (multiplicity 1)  4 Hf 3.56, 8 Nb 3.63
4 Sb 0.0000 0.0000 0.5000 (multiplicity 1)  4 Nb 2.52, 2 Hf 2.61

Computed properties:
The density of states at the Fermi level comes out at 4.7 states/eV per cell. As for the energy relative to the elements, uncorrected: 1346 meV/atom.

=====

# 3
A geometry-optimized Sn2Hg5Pb structure, computed with PBE.

a = 4.4520 Å, b = 4.4520 Å, c = 21.6734 Å
α = 90.00°, β = 90.00°, γ = 90.00°
With the nearest neighbours (Å) after each atom.
Space group I4/mmm (No. 139)
One atom of each set of equivalent atoms:
1 Sn 0.0000 0.0000 0.2356 (multiplicity 4)  4 Sn 3.21, 4 Hg 3.28
2 Hg 0.0000 0.0000 0.0000 (multiplicity 2)  4 Pb 3.15, 8 Hg 3.50
3 Hg 0.0000 0.5000 0.1246 (multiplicity 8)  6 Hg 3.15-3.50, 2 Sn 3.28, 2 Pb 3.50
4 Pb 0.0000 0.0000 0.5000 (multiplicity 2)  12 Hg 3.15-3.50

Computed properties:
The density of states at the Fermi level comes out at 5.7 states/eV per cell. The calculation puts the formation energy at 65 meV/atom.

=====

# 4
A geometry-optimized Ba2Zn3Cd4Ag structure, computed with PBE.

a = 4.7299 Å, b = 4.7299 Å, c = 11.7843 Å
α = 90.00°, β = 90.00°, γ = 90.00°
With the nearest neighbours (Å) after each atom.
Space group P-4m2 (No. 115)
One atom of each set of equivalent atoms:
1 Ba 0.0000 0.5000 0.2494 (multiplicity 2)  6 Zn 3.62-3.77, 8 Cd 3.62-3.78, 2 Ag 3.77
2 Zn 0.0000 0.0000 0.0000 (multiplicity 1)  4 Cd 2.82
3 Zn 0.0000 0.5000 0.6330 (multiplicity 2)  5 Cd 2.78-2.84
4 Cd 0.0000 0.0000 0.5000 (multiplicity 1)  4 Zn 2.84
5 Cd 0.0000 0.5000 0.8691 (multiplicity 2)  3 Zn 2.78-2.82, 2 Ag 2.82
6 Cd 0.5000 0.5000 0.5000 (multiplicity 1)  4 Zn 2.84
7 Ag 0.5000 0.5000 0.0000 (multiplicity 1)  4 Cd 2.82

Computed properties:
The density of states at the Fermi level comes out at 6.1 states/eV per cell. The calculation puts the formation energy at -207 meV/atom.

=====

Final energy readings, ordered: -133.69; -30.34; -25.40; -16.25 eV/cell